First-principles (GGA-PBE) data for an optimized crystal structure of U4Tc4Ge, as listed in the Alexandria database.

As for the volume: 21.0 A^3/atom. The total DFT energy (no corrections) is -9.939 eV per atom. The calculation puts the formation enthalpy at 0 K at 0.1980 eV/atom. Its density of states at the Fermi level is 14.876 states/eV/f.u.

Lattice parameters (Å, degrees): 7.6450 7.6450 6.4773 90.00 90.00 90.00
With the nearest neighbours (Å) after each atom.
Space group P4_2/nmc (No. 137, origin choice 2)
Unique sites:
U (0.0414, 0.2500, 0.0270) (multiplicity 8)  2 Tc 2.46
Tc (0.0060, 0.2500, 0.4940) (multiplicity 8)  2 U 2.46, 1 Ge 2.56
Ge (0.2500, 0.7500, 0.2500) (multiplicity 2)  4 Tc 2.56, 4 U 2.86

***

First-principles (GGA-PBE) data for an optimized crystal structure of ZrS2ClO, as listed in the Alexandria database.

As for the volume: 16.0 A^3/atom. The distance to the lowest polymorph of the same formula comes out at 812 meV per atom. The total DFT energy (no corrections) is -4.629 eV per atom. The formation energy without anion corrections comes out at 44.9 kJ/mol of formula units. Its density of states at the Fermi level is 3.155 states/eV/f.u.

Lattice parameters (Å, degrees): 4.3352 4.3352 4.2587 90.00 90.00 90.00
With the nearest neighbours (Å) after each atom.
Space group P4/mmm (No. 123)
Unique sites:
Zr (0.0000, 0.0000, 0.0000) (multiplicity 1)  8 S 3.04, 4 Cl 3.07
S (0.0000, 0.5000, 0.5000) (multiplicity 2)  2 O 2.17
Cl (0.5000, 0.5000, 0.0000) (multiplicity 1)  2 O 2.13
O (0.5000, 0.5000, 0.5000) (multiplicity 1)  2 Cl 2.13, 4 S 2.17

***

First-principles (GGA-PBE) data for an optimized crystal structure of PmPr2In, as listed in the Alexandria database.

As for the volume: 31.7 A^3/atom. The distance to the lowest polymorph of the same formula comes out at 137 meV per atom. The total DFT energy (no corrections) is -4.399 eV per atom. The calculation puts the formation enthalpy at 0 K at -0.1374 eV/atom. Its density of states at the Fermi level is 6.594 states/eV/f.u.

Lattice parameters (Å, degrees): 7.9766 7.9766 7.9766 90.00 90.00 90.00
With the nearest neighbours (Å) after each atom.
Space group Fm-3m (No. 225)
Unique sites:
Pm (0.0000, 0.0000, 0.0000) (multiplicity 4)  8 Pr 3.45
Pr (0.2500, 0.2500, 0.2500) (multiplicity 8)  4 In 3.45, 4 Pm 3.45
In (0.0000, 0.0000, 0.5000) (multiplicity 4)  8 Pr 3.45

***

Q: volume of number 2 (ZrS2ClO)?
A: 16.0 A^3/atom